## HgOsIN2 (PBE-GGA)

Data for a relaxed structure of HgOsIN2.

Properties
**DOS at the Fermi energy**: 1.44 states/eV/atom
**Offset from the most stable computed form**: 1809 meV/atom

Unit cell a=4.1250 b=4.1250 c=7.5115 alpha=90.00 beta=90.00 gamma=90.00
With the nearest neighbours (Å) after each atom.
Element x y z (fractional)
I: 0.0000 0.0000 0.5000  4 Os 2.92
Os: 0.5000 0.5000 0.5000  4 I 2.92
Hg: 0.0000 0.0000 0.0000  4 N 2.06
N: 0.0000 0.5000 0.0000  2 Hg 2.06
N: 0.5000 0.0000 0.0000  2 Hg 2.06

---

## HgPI2N (PBE-GGA)

Data for a relaxed structure of HgPI2N.

Properties
**DOS at the Fermi energy**: 1.40 states/eV/atom
**Offset from the most stable computed form**: 1121 meV/atom

Unit cell a=6.0848 b=6.0848 c=3.9344 alpha=90.00 beta=90.00 gamma=90.00
With the nearest neighbours (Å) after each atom.
Element x y z (fractional)
I: 0.0000 0.5000 0.0000  2 Hg 3.04
I: 0.5000 0.0000 0.0000  2 Hg 3.04
P: 0.5000 0.5000 0.5000  8 I 3.62, 2 P 3.93
Hg: 0.0000 0.0000 0.0000  2 N 1.97
N: 0.0000 0.0000 0.5000  2 Hg 1.97

---

## HgPI2N (PBE-GGA)

Data for a relaxed structure of HgPI2N.

Properties
**DOS at the Fermi energy**: 0.41 states/eV/atom
**Offset from the most stable computed form**: 0 meV/atom

Unit cell a=6.9514 b=6.9514 c=3.2223 alpha=90.00 beta=90.00 gamma=90.00
With the nearest neighbours (Å) after each atom.
Element x y z (fractional)
I: 0.0000 0.5000 0.0000  2 I 3.22, 2 P 3.48
I: 0.5000 0.0000 0.0000  2 I 3.22, 2 P 3.48
P: 0.0000 0.0000 0.0000  2 N 1.61
Hg: 0.5000 0.5000 0.5000  2 Hg 3.22
N: 0.0000 0.0000 0.5000  2 P 1.61

---

## HgPIN2 (PBE-GGA)

Data for a relaxed structure of HgPIN2.

Properties
**DOS at the Fermi energy**: 0.61 states/eV/atom
**Offset from the most stable computed form**: 806 meV/atom

Unit cell a=4.2054 b=4.2054 c=8.1391 alpha=90.00 beta=90.00 gamma=90.00
With the nearest neighbours (Å) after each atom.
Element x y z (fractional)
I: 0.0000 0.0000 0.5000  4 P 2.97
P: 0.5000 0.5000 0.5000  4 I 2.97
Hg: 0.0000 0.0000 0.0000  4 N 2.10
N: 0.0000 0.5000 0.0000  2 Hg 2.10
N: 0.5000 0.0000 0.0000  2 Hg 2.10

---

## HgPIN2 (PBE-GGA)

Data for a relaxed structure of HgPIN2.

Properties
**DOS at the Fermi energy**: 0.38 states/eV/atom
**Offset from the most stable computed form**: 0 meV/atom

Unit cell a=3.8182 b=3.8182 c=7.1001 alpha=90.00 beta=90.00 gamma=90.00
With the nearest neighbours (Å) after each atom.
Element x y z (fractional)
I: 0.0000 0.0000 0.5000  4 Hg 2.70
P: 0.0000 0.0000 0.0000  4 N 1.91
Hg: 0.5000 0.5000 0.5000  4 I 2.70
N: 0.0000 0.5000 0.0000  2 P 1.91
N: 0.5000 0.0000 0.0000  2 P 1.91

---

## HgPbI2N (PBE-GGA)

Data for a relaxed structure of HgPbI2N.

Properties
**DOS at the Fermi energy**: 0.53 states/eV/atom
**Offset from the most stable computed form**: 22 meV/atom

Unit cell a=6.3715 b=6.3715 c=4.0966 alpha=90.00 beta=90.00 gamma=90.00
With the nearest neighbours (Å) after each atom.
Element x y z (fractional)
Pb: 0.5000 0.5000 0.5000  8 I 3.79, 2 Pb 4.10
I: 0.0000 0.5000 0.0000  2 Hg 3.19
I: 0.5000 0.0000 0.0000  2 Hg 3.19
Hg: 0.0000 0.0000 0.0000  2 N 2.05
N: 0.0000 0.0000 0.5000  2 Hg 2.05

---

## HgPbI2N (PBE-GGA)

Data for a relaxed structure of HgPbI2N.

Properties
**DOS at the Fermi energy**: 0.77 states/eV/atom
**Offset from the most stable computed form**: 0 meV/atom

Unit cell a=6.3139 b=6.3139 c=4.8738 alpha=90.00 beta=90.00 gamma=90.00
With the nearest neighbours (Å) after each atom.
Element x y z (fractional)
Pb: 0.0000 0.0000 0.0000  2 N 2.44
I: 0.0000 0.5000 0.0000  2 Pb 3.16
I: 0.5000 0.0000 0.0000  2 Pb 3.16
Hg: 0.5000 0.5000 0.5000  8 I 3.99, 4 N 4.46
N: 0.0000 0.0000 0.5000  2 Pb 2.44

---

## HgPdIN2 (PBE-GGA)

Data for a relaxed structure of HgPdIN2.

Properties
**DOS at the Fermi energy**: 0.67 states/eV/atom
**Offset from the most stable computed form**: 472 meV/atom

Unit cell a=4.1722 b=4.1722 c=7.5074 alpha=90.00 beta=90.00 gamma=90.00
With the nearest neighbours (Å) after each atom.
Element x y z (fractional)
I: 0.0000 0.0000 0.5000  4 Pd 2.95
Hg: 0.0000 0.0000 0.0000  4 N 2.09
Pd: 0.5000 0.5000 0.5000  4 I 2.95
N: 0.0000 0.5000 0.0000  2 Hg 2.09
N: 0.5000 0.0000 0.0000  2 Hg 2.09

---

| no. | formation energy (no corrections) (meV per atom) |
| --- | --- |
| 1 | 2717 |
| 2 | 1548 |
| 3 | 427 |
| 4 | 2093 |
| 5 | 1287 |
| 6 | 674 |
| 7 | 653 |
| 8 | 1830 |